This record from Alexandria via LeMat-Bulk describes a relaxed structure of Li3Fe2F9. The functional is GGA+U.

Lattice parameters (Å, degrees): 5.0921 5.0921 14.6281 90.00 90.00 120.00
Space group P-62c (No. 190)
One atom of each set of equivalent atoms:
Li 0.3333 0.6667 0.0071
Li 0.3333 0.6667 0.7500
Fe 0.0000 0.0000 0.1486
F 0.0047 0.7212 0.7500
F 0.0083 0.3318 0.5874

Output
calculated total energy: -5.04 eV per atom